[1]
Below is crystalline ZrAlPb at its relaxed geometry, with properties calculated at the PBE level.

a b c (Å): 4.840 4.840 4.840
angles (deg): 60.00 60.00 60.00
Positions (direct):
Zr 0.000 0.000 0.000
Al 0.750 0.750 0.750
Pb 0.250 0.250 0.250

* Fermi-level density of states: 0.79 states/eV per atom
* energy above the most stable polymorph in this dataset: 8.82 kcal/mol of atoms
* size of the total moment: 0.00 μB per formula unit
* crystal system: cubic
* energy of formation: 335.1 meV/atom

[2]
Below is crystalline SrVFe2 at its relaxed geometry, with properties calculated at the PBE level.

a b c (Å): 4.637 4.637 4.637
angles (deg): 60.00 60.00 60.00
Positions (direct):
Sr 0.000 0.000 0.000
V 0.500 0.500 0.500
Fe 0.250 0.250 0.250
Fe 0.750 0.750 0.750

* Fermi-level density of states: 1.19 states/eV per atom
* energy above the most stable polymorph in this dataset: 1.37 kcal/mol of atoms
* size of the total moment: 1.76 μB per formula unit
* crystal system: cubic
* energy of formation: 812.2 meV/atom

[3]
Below is crystalline MnNb2CrSn at its relaxed geometry, with properties calculated at the PBE level.

a b c (Å): 5.063 5.063 4.751
angles (deg): 90.00 90.00 90.00
Positions (direct):
Mn 0.000 0.000 0.000
Nb 0.000 0.500 0.500
Nb 0.500 0.000 0.500
Cr 0.500 0.500 0.000
Sn 0.500 0.500 0.500

* Fermi-level density of states: 2.61 states/eV per atom
* size of the total moment: 3.12 μB per formula unit
* crystal system: tetragonal
* energy of formation: 2173.2 meV/atom